# Ba2Ge2Pb3, relaxed, DFT GGA-PBE
data_Ba2Ge2Pb3
_chemical_formula_sum 'Ba4 Ge4 Pb6'
_cell_length_a 12.9596
_cell_length_b 4.6248
_cell_length_c 7.7784
_cell_angle_alpha 90.00
_cell_angle_beta 94.82
_cell_angle_gamma 90.00
_space_group_name_H-M_alt 'C 1 2/m 1'
_space_group_IT_number 12
_space_group_name_Hall '-C 2y'
loop_
_atom_site_label
_atom_site_fract_x
_atom_site_fract_y
_atom_site_fract_z
_atom_site_occupancy
Ba1 0.1385 0.0000 0.3124 1
Ge1 0.0750 0.5000 0.6173 1
Pb1 0.0000 0.5000 0.0000 1
Pb2 0.1551 0.0000 0.8187 1
# Energy above the lowest structure with this stoichiometry   0.0000 eV/atom
# Calculated formation energy   -2.76 eV per formula unit
# Crystal system   monoclinic
# D(E_F)   0.42 states/eV per atom